Entry 1:
## Y3Be (PBE-GGA)

Data for crystalline Y3Be at its relaxed geometry.

Cell lengths 6.8330, 6.8330, 5.0763 Å; angles 90.00, 90.00, 120.00 degrees
Last column: nearest neighbours and their distance in Å.
Atoms (fractional coordinates):
Y 0.1775 0.3550 0.2500  4 Be 3.14-3.42, 6 Y 3.19-3.29
Y 0.1775 0.8225 0.2500  4 Be 3.14-3.42, 6 Y 3.19-3.29
Y 0.3550 0.1775 0.7500  4 Be 3.14-3.42, 6 Y 3.19-3.29
Y 0.6450 0.8225 0.2500  4 Be 3.14-3.42, 6 Y 3.19-3.29
Y 0.8225 0.1775 0.7500  4 Be 3.14-3.42, 6 Y 3.19-3.29
Y 0.8225 0.6450 0.7500  4 Be 3.14-3.42, 6 Y 3.19-3.29
Be 0.3333 0.6667 0.7500  12 Y 3.14-3.42
Be 0.6667 0.3333 0.2500  12 Y 3.14-3.42

Computed properties:
Space-group type: P6_3/mmc, No. 194
Volume, A^3/atom: 25.66
Energy relative to the elements, meV per atom: 220.6

Entry 2:
## Hf5Zr2ZnOs2 (PBE-GGA)

Data for crystalline Hf5Zr2ZnOs2 at its relaxed geometry.

Cell lengths 11.1860, 11.1860, 3.3162 Å; angles 90.00, 90.00, 90.00 degrees
Last column: nearest neighbours and their distance in Å.
Atoms (fractional coordinates):
Hf 0.0000 0.5000 0.0000  4 Os 2.74
Hf 0.0470 0.2008 0.0000  2 Os 2.65, 2 Zn 2.84
Hf 0.2008 0.9530 0.0000  2 Os 2.65, 2 Zn 2.84
Hf 0.2992 0.4530 0.0000  2 Os 2.65, 2 Zn 2.84
Hf 0.4530 0.7008 0.0000  2 Os 2.65, 2 Zn 2.84
Hf 0.5000 0.0000 0.0000  4 Os 2.74
Hf 0.5470 0.2992 0.0000  2 Os 2.65, 2 Zn 2.84
Hf 0.7008 0.5470 0.0000  2 Os 2.65, 2 Zn 2.84
Hf 0.7992 0.0470 0.0000  2 Os 2.65, 2 Zn 2.84
Hf 0.9530 0.7992 0.0000  2 Os 2.65, 2 Zn 2.84
Zr 0.1843 0.6843 0.5000  1 Os 2.82
Zr 0.3157 0.1843 0.5000  1 Os 2.82
Zr 0.6843 0.8157 0.5000  1 Os 2.82
Zr 0.8157 0.3157 0.5000  1 Os 2.82
Zn 0.0000 0.0000 0.5000  8 Hf 2.84
Zn 0.5000 0.5000 0.5000  8 Hf 2.84
Os 0.1376 0.3624 0.5000  6 Hf 2.65-2.74, 1 Zr 2.82
Os 0.3624 0.8624 0.5000  6 Hf 2.65-2.74, 1 Zr 2.82
Os 0.6376 0.1376 0.5000  6 Hf 2.65-2.74, 1 Zr 2.82
Os 0.8624 0.6376 0.5000  6 Hf 2.65-2.74, 1 Zr 2.82

Computed properties:
Space-group type: P4/mbm, No. 127
Volume, A^3/atom: 20.75
Energy relative to the elements, meV per atom: -239.5

Entry 3:
## TlWCl (PBE-GGA)

Data for crystalline TlWCl at its relaxed geometry.

Cell lengths 8.0929, 8.0929, 8.0929 Å; angles 158.96, 158.96, 29.93 degrees
Last column: nearest neighbours and their distance in Å.
Atoms (fractional coordinates):
Tl 0.0000 0.0000 0.0000  4 Tl 2.96, 4 W 3.25
W 0.3405 0.3405 0.0000  4 Cl 2.59
Cl 0.7427 0.7427 0.0000  4 W 2.59

Computed properties:
Space-group type: I4mm, No. 107
Volume, A^3/atom: 22.76
Energy relative to the elements, uncorrected, eV per atom: 0.627